# Mg2ZrSi | Alexandria | GGA-PBEsol | optimized geometry
# * D(E_F): 9.3 states/eV per cell
# * crystal system: tetragonal
data_Mg2ZrSi
_chemical_formula_sum 'Mg4 Zr2 Si2'
_cell_length_a 4.156
_cell_length_b 4.156
_cell_length_c 8.655
_cell_angle_alpha 90.00
_cell_angle_beta 90.00
_cell_angle_gamma 90.00
_symmetry_space_group_name_H-M 'I -4 m 2'
_symmetry_Int_Tables_number 119
_symmetry_space_group_name_Hall 'I -4 -2'
loop_
_atom_site_label
_atom_site_fract_x
_atom_site_fract_y
_atom_site_fract_z
_atom_site_occupancy
Mg1 0.000 0.000 0.000 1
Mg2 0.000 0.500 0.250 1
Zr1 0.000 0.500 0.750 1
Si1 0.000 0.000 0.500 1



# Mg2ZrSi | Alexandria | GGA-PBEsol | optimized geometry
# * D(E_F): 6.0 states/eV per cell
# * crystal system: trigonal
data_Mg2ZrSi
_chemical_formula_sum 'Mg6 Zr3 Si3'
_cell_length_a 3.0379
_cell_length_b 3.0379
_cell_length_c 29.2910
_cell_angle_alpha 90.00
_cell_angle_beta 90.00
_cell_angle_gamma 120.00
_symmetry_space_group_name_H-M 'R -3 m'
_symmetry_Int_Tables_number 166
_symmetry_space_group_name_Hall '-R 3 2"'
loop_
_atom_site_label
_atom_site_fract_x
_atom_site_fract_y
_atom_site_fract_z
_atom_site_occupancy
Mg1 0.0000 0.0000 0.2420 1
Zr1 0.0000 0.0000 0.0000 1
Si1 0.0000 0.0000 0.5000 1



# Mg2ZrSi | Alexandria | GGA-PBEsol | optimized geometry
# * D(E_F): 2.6 states/eV per cell
# * crystal system: orthorhombic
data_Mg2ZrSi
_chemical_formula_sum 'Mg2 Zr1 Si1'
_cell_length_a 3.167
_cell_length_b 3.922
_cell_length_c 6.191
_cell_angle_alpha 90.00
_cell_angle_beta 90.00
_cell_angle_gamma 90.00
_symmetry_space_group_name_H-M 'P m m 2'
_symmetry_Int_Tables_number 25
loop_
_symmetry_equiv_pos_as_xyz
'x,y,z'
'-x,-y,z'
'-x,y,z'
'x,-y,z'
loop_
_atom_site_label
_atom_site_fract_x
_atom_site_fract_y
_atom_site_fract_z
_atom_site_occupancy
Mg1 0.000 0.000 0.000 1
Mg2 0.500 0.500 0.250 1
Zr1 0.500 0.500 0.722 1
Si1 0.000 0.000 0.518 1



# MgZrSi3 | Alexandria | GGA-PBEsol | optimized geometry
# * D(E_F): 4.2 states/eV per cell
# * crystal system: cubic
data_MgZrSi3
_chemical_formula_sum 'Mg1 Zr1 Si3'
_cell_length_a 4.673
_cell_length_b 4.673
_cell_length_c 4.673
_cell_angle_alpha 90.00
_cell_angle_beta 90.00
_cell_angle_gamma 90.00
_symmetry_space_group_name_H-M 'P m -3 m'
_symmetry_Int_Tables_number 221
_symmetry_space_group_name_Hall '-P 4 2 3'
loop_
_atom_site_label
_atom_site_fract_x
_atom_site_fract_y
_atom_site_fract_z
_atom_site_occupancy
Mg1 0.000 0.000 0.000 1
Zr1 0.500 0.500 0.500 1
Si1 0.000 0.000 0.500 1



What magnetization values result from the calculations? In sequence: 0.00, 0.00, 0.00, 0.00 μB/atom.
What E_form (uncorrected) values result from the calculations? In sequence: -0.4, 0.3, -0.6, 5.0 eV/f.u..